Compound: La2GeAs2
Source: the Alexandria database
Functional: PBE
Structure: relaxed

Properties
- ΔE_f (eV/f.u.) = -3.99
- volume (A^3/atom) = 27.09
- space group = No. 127

Lattice parameters (Å, degrees): 8.193 8.193 4.036 90.00 90.00 90.00
Fractional positions:
1 As 0.162 0.662 0.500
2 As 0.662 0.838 0.500
3 As 0.838 0.338 0.500
4 As 0.338 0.162 0.500
5 Ge 0.000 0.000 0.000
6 Ge 0.500 0.500 0.000
7 La 0.350 0.850 0.000
8 La 0.850 0.650 0.000
9 La 0.650 0.150 0.000
10 La 0.150 0.350 0.000